1.
# TbPu2Pa (PBE-GGA, optimized geometry)
data_TbPu2Pa
_space_group_name_H-M_alt 'P 1'
_space_group_IT_number 1
_cell_length_a 4.5529
_cell_length_b 4.8006
_cell_length_c 4.8006
_cell_angle_alpha 90.00
_cell_angle_beta 90.00
_cell_angle_gamma 90.00
loop_
_space_group_symop_operation_xyz
'x,y,z'
loop_
_atom_site_label
_atom_site_type_symbol
_atom_site_fract_x
_atom_site_fract_y
_atom_site_fract_z
_atom_site_occupancy
Pa1 Pa 0.5000 0.0000 0.0000 1
Tb1 Tb 0.5000 0.5000 0.5000 1
Pu1 Pu 0.0000 0.0000 0.5000 1
Pu2 Pu 0.0000 0.5000 0.0000 1
# Crystal system: tetragonal

=====

2.
# LiAlGa5 (PBE-GGA, optimized geometry)
data_LiAlGa5
_space_group_name_H-M_alt 'P 1'
_space_group_IT_number 1
_cell_length_a 4.5003
_cell_length_b 4.5003
_cell_length_c 6.4169
_cell_angle_alpha 90.00
_cell_angle_beta 90.00
_cell_angle_gamma 90.00
loop_
_space_group_symop_operation_xyz
'x,y,z'
loop_
_atom_site_label
_atom_site_type_symbol
_atom_site_fract_x
_atom_site_fract_y
_atom_site_fract_z
_atom_site_occupancy
Li1 Li 0.0000 0.0000 0.0000 1
Al1 Al 0.0000 0.0000 0.5000 1
Ga1 Ga 0.5000 0.5000 0.0000 1
Ga2 Ga 0.5000 0.0000 0.2673 1
Ga3 Ga 0.0000 0.5000 0.2673 1
Ga4 Ga 0.5000 0.0000 0.7327 1
Ga5 Ga 0.0000 0.5000 0.7327 1
# Crystal system: tetragonal

=====

no.,energy relative to the elements (meV per atom)
1,249
2,-78